Entry 1:
The following is a DFT calculation (GGA-PBE) of a relaxed structure of Pr2Al4CdGa3.

Cell lengths 4.342, 4.342, 11.121 Å; angles 90.00, 90.00, 90.00 degrees
Element x y z (fractional)
Pr 0.000 0.500 0.248
Pr 0.500 0.000 0.752
Al 0.000 0.000 0.000
Al 0.000 0.500 0.642
Al 0.500 0.000 0.358
Al 0.500 0.500 0.000
Cd 0.000 0.000 0.500
Ga 0.000 0.500 0.866
Ga 0.500 0.000 0.134
Ga 0.500 0.500 0.500

Properties
density of states at the Fermi level	0.461	states/eV per atom
energy relative to the elements	-0.377	eV per atom

---

Entry 2:
The following is a DFT calculation (GGA-PBE) of a relaxed structure of Pr2Al3CdGa4.

Cell lengths 4.406, 4.406, 10.851 Å; angles 90.00, 90.00, 90.00 degrees
Element x y z (fractional)
Pr 0.000 0.500 0.241
Pr 0.500 0.000 0.759
Al 0.000 0.500 0.873
Al 0.500 0.000 0.127
Al 0.500 0.500 0.500
Cd 0.000 0.000 0.500
Ga 0.000 0.000 0.000
Ga 0.000 0.500 0.644
Ga 0.500 0.000 0.356
Ga 0.500 0.500 0.000

Properties
density of states at the Fermi level	0.446	states/eV per atom
energy relative to the elements	-0.391	eV per atom

---

Entry 3:
The following is a DFT calculation (GGA-PBE) of a relaxed structure of PuAlCdGa.

Cell lengths 4.927, 4.927, 4.927 Å; angles 60.00, 60.00, 60.00 degrees
Element x y z (fractional)
Pu 0.000 0.000 0.000
Al 0.250 0.250 0.250
Cd 0.500 0.500 0.500
Ga 0.750 0.750 0.750

Properties
density of states at the Fermi level	2.215	states/eV per atom
energy relative to the elements	-0.116	eV per atom

---

Entry 4:
The following is a DFT calculation (GGA-PBE) of a relaxed structure of AlCdGa2S6.

Cell lengths 8.995, 8.995, 6.761 Å; angles 109.32, 109.32, 89.46 degrees
Element x y z (fractional)
Al 0.172 0.828 0.750
Al 0.828 0.172 0.250
Cd 0.178 0.822 0.250
Cd 0.822 0.178 0.750
Ga 0.229 0.397 0.331
Ga 0.397 0.229 0.831
Ga 0.603 0.771 0.169
Ga 0.771 0.603 0.669
S 0.038 0.185 0.131
S 0.110 0.626 0.417
S 0.185 0.038 0.631
S 0.330 0.441 0.076
S 0.374 0.890 0.083
S 0.441 0.330 0.576
S 0.559 0.670 0.424
S 0.626 0.110 0.917
S 0.670 0.559 0.924
S 0.815 0.962 0.369
S 0.890 0.374 0.583
S 0.962 0.815 0.869

Properties
E_form (uncorrected)	-0.579	eV/atom

---

Entry 5:
The following is a DFT calculation (GGA-PBE) of a relaxed structure of Al2CdGaS6.

Cell lengths 8.727, 8.727, 6.780 Å; angles 107.15, 107.15, 91.59 degrees
Element x y z (fractional)
Al 0.086 0.256 0.179
Al 0.256 0.086 0.679
Al 0.744 0.914 0.321
Al 0.914 0.744 0.821
Cd 0.363 0.637 0.750
Cd 0.637 0.363 0.250
Ga 0.321 0.679 0.250
Ga 0.679 0.321 0.750
S 0.052 0.163 0.447
S 0.130 0.612 0.914
S 0.163 0.052 0.947
S 0.309 0.445 0.350
S 0.388 0.870 0.586
S 0.445 0.309 0.850
S 0.555 0.691 0.150
S 0.612 0.130 0.414
S 0.691 0.555 0.650
S 0.837 0.948 0.053
S 0.870 0.388 0.086
S 0.948 0.837 0.553

Properties
E_form (uncorrected)	-0.671	eV/atom
density of states at the Fermi level	0.204	states/eV per atom

---

Entry 6:
The following is a DFT calculation (GGA-PBE) of a relaxed structure of AlCdGaSn.

Cell lengths 5.023, 5.023, 5.023 Å; angles 60.00, 60.00, 60.00 degrees
Element x y z (fractional)
Al 0.000 0.000 0.000
Cd 0.500 0.500 0.500
Ga 0.250 0.250 0.250
Sn 0.750 0.750 0.750

Properties
density of states at the Fermi level	0.311	states/eV per atom
energy relative to the elements	0.141	eV per atom

---

no.,calculated total energy (Ha/atom)
1,-0.1407
2,-0.1386
3,-0.2065
4,-0.1517
5,-0.1577
6,-0.1022